Below is Zr2CuBiF after structural relaxation, with properties calculated at the GGA-PBE level.

Structure (extended XYZ):
```
5
Lattice="4.359 0.000 0.000 0.000 4.359 0.000 0.000 0.000 5.348" Properties=species:S:1:pos:R:3 pbc="T T T"
Zr 0.000 2.179 0.000
Zr 2.179 0.000 0.000
Cu 0.000 0.000 2.674
Bi 2.179 2.179 2.674
F 2.179 2.179 0.000
```

Output
ΔE_f (raw), meV/atom: -382
Crystal system: tetragonal
Density, g cm⁻³: 7.7



Below is FeCuBi after structural relaxation, with properties calculated at the GGA-PBE level.

Structure (extended XYZ):
```
6
Lattice="3.990 0.000 0.000 0.000 3.990 0.000 0.000 0.000 6.709" Properties=species:S:1:pos:R:3 pbc="T T T"
Fe 0.997 2.992 0.000
Fe 2.992 0.997 0.000
Cu 0.997 0.997 1.604
Cu 2.992 2.992 5.105
Bi 0.997 0.997 4.619
Bi 2.992 2.992 2.089
```

Output
Crystal system: tetragonal
Density, g cm⁻³: 10.2
Energy of formation from the pure elements, eV/atom: 0.195



Below is Fe2CuBi after structural relaxation, with properties calculated at the GGA-PBE level.

Structure (extended XYZ):
```
8
Lattice="-1.920 1.920 9.253 1.920 -1.920 9.253 1.920 1.920 -9.253" Properties=species:S:1:pos:R:3 pbc="T T T"
Fe 2.881 0.763 -2.313
Fe 0.763 0.960 2.313
Fe -0.960 1.157 6.940
Fe 1.157 0.960 11.567
Cu 0.000 0.000 0.000
Cu 0.000 1.920 4.627
Bi 1.920 0.000 4.627
Bi 0.000 0.000 9.253
```

Output
Crystal system: tetragonal
Density, g cm⁻³: 9.3
Energy of formation from the pure elements, eV/atom: 0.647



Below is FeCuBi3 after structural relaxation, with properties calculated at the GGA-PBE level.

Structure (extended XYZ):
```
5
Lattice="5.071 0.000 0.000 0.000 5.071 0.000 0.000 0.000 5.071" Properties=species:S:1:pos:R:3 pbc="T T T"
Fe 0.000 0.000 0.000
Cu 2.535 2.535 2.535
Bi 0.000 0.000 2.535
Bi 0.000 2.535 0.000
Bi 2.535 0.000 0.000
```

Output
Crystal system: cubic
Density, g cm⁻³: 9.5
Energy of formation from the pure elements, eV/atom: 0.668



Below is FeCuBi2 after structural relaxation, with properties calculated at the GGA-PBE level.

Structure (extended XYZ):
```
8
Lattice="-3.188 3.188 5.205 3.188 -3.188 5.205 3.188 3.188 -5.205" Properties=species:S:1:pos:R:3 pbc="T T T"
Fe 0.000 0.000 0.000
Fe 0.000 3.188 2.603
Cu 3.188 0.000 2.603
Cu 0.000 0.000 5.205
Bi 4.782 1.472 -1.301
Bi 1.472 1.594 1.301
Bi -1.594 1.716 3.904
Bi 1.716 1.594 6.507
```

Output
Crystal system: tetragonal
Density, g cm⁻³: 8.4
Energy of formation from the pure elements, eV/atom: 0.728



Below is FeCuBi2 after structural relaxation, with properties calculated at the GGA-PBE level.

Structure (extended XYZ):
```
4
Lattice="0.000 3.475 3.475 3.475 0.000 3.475 3.475 3.475 0.000" Properties=species:S:1:pos:R:3 pbc="T T T"
Fe 0.000 0.000 0.000
Cu 3.475 3.475 3.475
Bi 1.738 1.738 1.738
Bi 5.213 5.213 5.213
```

Output
Crystal system: cubic
Density, g cm⁻³: 10.6
Energy of formation from the pure elements, eV/atom: 0.510



For each record above, in turn, the calculated calculated volume values are 101.6, 53.4, 68.3, 130.4, 105.8, 83.9 Å³/f.u..